[1]
Density functional theory data (PBE) for a relaxed structure of MgCd2Sn.

Energy of formation from the pure elements   25 meV/atom
Energy above the lowest structure with this stoichiometry   0.24 eV/f.u.
SG   Fm-3m, No. 225
DFT total energy   -1.832 eV per atom

Cell lengths 5.1520, 5.1520, 5.1520 Å; angles 60.00, 60.00, 60.00 degrees
Closest atoms and distances in Å follow each position.
Sites, in units of the cell vectors:
1 Mg 0.0000 0.0000 0.0000  8 Cd 3.15
2 Cd 0.2500 0.2500 0.2500  4 Sn 3.15, 4 Mg 3.15
3 Cd 0.7500 0.7500 0.7500  4 Mg 3.15, 4 Sn 3.15
4 Sn 0.5000 0.5000 0.5000  8 Cd 3.15


[2]
Density functional theory data (PBE) for a relaxed structure of TaCrIr3.

Energy of formation from the pure elements   1153 meV/atom
Energy above the lowest structure with this stoichiometry   0.00 eV/f.u.
SG   Pm-3m, No. 221
DFT total energy   -8.459 eV per atom

Cell lengths 4.4485, 4.4485, 4.4485 Å; angles 90.00, 90.00, 90.00 degrees
Closest atoms and distances in Å follow each position.
Sites, in units of the cell vectors:
1 Ta 0.0000 0.0000 0.0000  12 Ir 3.15
2 Cr 0.5000 0.5000 0.5000  6 Ir 2.22
3 Ir 0.0000 0.5000 0.5000  2 Cr 2.22
4 Ir 0.5000 0.0000 0.5000  2 Cr 2.22
5 Ir 0.5000 0.5000 0.0000  2 Cr 2.22


[3]
Density functional theory data (PBE) for a relaxed structure of AlFe4Ge.

Energy of formation from the pure elements   80 meV/atom
Energy above the lowest structure with this stoichiometry   1.26 eV/f.u.
SG   C2/c, No. 15
DFT total energy   -6.956 eV per atom

Cell lengths 5.4619, 5.4619, 6.5692 Å; angles 111.21, 111.21, 93.26 degrees
Closest atoms and distances in Å follow each position.
Sites, in units of the cell vectors:
1 Al 0.1050 0.8950 0.7500  6 Fe 2.43-2.59
2 Al 0.8950 0.1050 0.2500  6 Fe 2.43-2.59
3 Fe 0.1065 0.3780 0.7704  4 Fe 2.36-2.50, 1 Ge 2.50, 1 Al 2.59
4 Fe 0.2533 0.5032 0.5181  5 Fe 2.36-2.60, 2 Ge 2.38-2.47, 2 Al 2.43-2.51
5 Fe 0.3780 0.1065 0.2704  4 Fe 2.36-2.50, 1 Ge 2.50, 1 Al 2.59
6 Fe 0.4968 0.7467 0.9819  5 Fe 2.36-2.60, 2 Ge 2.38-2.47, 2 Al 2.43-2.51
7 Fe 0.5032 0.2533 0.0181  5 Fe 2.36-2.60, 2 Ge 2.38-2.47, 2 Al 2.43-2.51
8 Fe 0.6220 0.8935 0.7296  4 Fe 2.36-2.50, 1 Ge 2.50, 1 Al 2.59
9 Fe 0.7467 0.4968 0.4819  5 Fe 2.36-2.60, 2 Ge 2.38-2.47, 2 Al 2.43-2.51
10 Fe 0.8935 0.6220 0.2296  4 Fe 2.36-2.50, 1 Ge 2.50, 1 Al 2.59
11 Ge 0.3610 0.6390 0.2500  6 Fe 2.38-2.50
12 Ge 0.6390 0.3610 0.7500  6 Fe 2.38-2.50


[4]
Density functional theory data (PBE) for a relaxed structure of TlInN2.

Energy above the lowest structure with this stoichiometry   0.00 eV/f.u.
SG   P-1, No. 2
DFT total energy   -5.257 eV per atom

Cell lengths 5.1673, 6.0499, 9.8626 Å; angles 89.81, 74.85, 89.31 degrees
Closest atoms and distances in Å follow each position.
Sites, in units of the cell vectors:
1 Tl 0.0568 0.2500 0.3863  4 In 3.17-3.20
2 Tl 0.9432 0.7500 0.6137  4 In 3.17-3.20
3 In 0.5000 0.0000 0.5000  2 In 3.02, 4 Tl 3.17-3.20
4 In 0.5000 0.5000 0.5000  2 In 3.02, 4 Tl 3.17-3.20
5 N 0.1205 0.7476 0.0437  1 N 1.11
6 N 0.3363 0.7521 0.0428  1 N 1.11
7 N 0.6637 0.2479 0.9572  1 N 1.11
8 N 0.8795 0.2524 0.9563  1 N 1.11


[5]
Density functional theory data (PBE) for a relaxed structure of CdS2NO.

Energy above the lowest structure with this stoichiometry   3.59 eV/f.u.
SG   P4/mmm, No. 123
DFT total energy   -2.500 eV per atom

Cell lengths 5.1266, 5.1266, 4.2681 Å; angles 90.00, 90.00, 90.00 degrees
Closest atoms and distances in Å follow each position.
Sites, in units of the cell vectors:
1 Cd 0.0000 0.0000 0.0000  2 N 2.13
2 S 0.0000 0.5000 0.0000  2 Cd 2.56
3 S 0.5000 0.0000 0.0000  2 Cd 2.56
4 N 0.0000 0.0000 0.5000  2 Cd 2.13
5 O 0.5000 0.5000 0.5000  8 S 3.34, 4 N 3.63


[6]
Density functional theory data (PBE) for a relaxed structure of Li3PmCd4.

Energy of formation from the pure elements   -234 meV/atom
SG   R-3m, No. 166
DFT total energy   -2.003 eV per atom

Cell lengths 9.0747, 9.0747, 9.0747 Å; angles 30.69, 30.69, 30.69 degrees
Closest atoms and distances in Å follow each position.
Sites, in units of the cell vectors:
1 Li 0.0000 0.0000 0.0000  8 Cd 2.74-2.95
2 Li 0.2574 0.2574 0.2574  7 Cd 2.88-2.97
3 Li 0.7426 0.7426 0.7426  7 Cd 2.88-2.97
4 Pm 0.5000 0.5000 0.5000  8 Cd 3.19-3.32
5 Cd 0.1058 0.1058 0.1058  4 Li 2.74-2.88
6 Cd 0.3721 0.3721 0.3721  7 Li 2.94-2.97, 3 Cd 3.27
7 Cd 0.6279 0.6279 0.6279  7 Li 2.94-2.97, 3 Cd 3.27
8 Cd 0.8942 0.8942 0.8942  4 Li 2.74-2.88


[7]
Density functional theory data (PBE) for a relaxed structure of LaMnSiBi.

Energy above the lowest structure with this stoichiometry   0.05 eV/f.u.
SG   R3m, No. 160
DFT total energy   -6.148 eV per atom

Cell lengths 6.6356, 6.6356, 6.6356 Å; angles 37.28, 37.28, 37.28 degrees
Closest atoms and distances in Å follow each position.
Sites, in units of the cell vectors:
1 La 0.0000 0.0000 0.0000  3 Si 2.99
2 Mn 0.4702 0.4702 0.4702  3 Si 2.58, 3 Bi 2.79
3 Si 0.7591 0.7591 0.7591  3 Mn 2.58
4 Bi 0.2091 0.2091 0.2091  3 Mn 2.79


[8]
Density functional theory data (PBE) for a relaxed structure of VCd2SbTe.

SG   P4/mmm, No. 123
DFT total energy   -3.061 eV per atom

Cell lengths 5.3991, 5.3991, 5.0215 Å; angles 90.00, 90.00, 90.00 degrees
Closest atoms and distances in Å follow each position.
Sites, in units of the cell vectors:
1 V 0.0000 0.0000 0.0000  2 Te 2.51, 4 Cd 2.70
2 Cd 0.0000 0.5000 0.0000  2 V 2.70
3 Cd 0.5000 0.0000 0.0000  2 V 2.70
4 Sb 0.5000 0.5000 0.5000  8 Cd 3.69, 4 Te 3.82
5 Te 0.0000 0.0000 0.5000  2 V 2.51